# ZrTa2Tc

A relaxed structure of ZrTa2Tc (PBE, Alexandria via LeMat-Bulk).

Cell lengths 9.326, 9.326, 9.326 Å; angles 18.96, 18.96, 18.96 degrees
Element x y z (fractional)
Ta 0.992 0.992 0.992
Ta 0.508 0.508 0.508
Tc 0.250 0.250 0.250
Zr 0.750 0.750 0.750

Properties
Energy of formation = 112 meV per atom
Symmetry = R-3m (166)
Volume = 74.83 Å³/f.u.

# NaSi2Au

A relaxed structure of NaSi2Au (PBE, Alexandria via LeMat-Bulk).

Cell lengths 4.675, 5.536, 6.199 Å; angles 90.00, 90.00, 114.08 degrees
Element x y z (fractional)
Na 0.586 0.172 0.250
Na 0.414 0.828 0.750
Si 0.118 0.231 0.943
Si 0.882 0.769 0.057
Si 0.882 0.769 0.443
Si 0.118 0.231 0.557
Au 0.280 0.576 0.250
Au 0.720 0.424 0.750

Properties
Symmetry = P2_1/m (11)
Volume = 73.24 Å³/f.u.
E_form (uncorrected) = -38 meV per atom

# Pr3AlCo3

A relaxed structure of Pr3AlCo3 (PBE, Alexandria via LeMat-Bulk).

Cell lengths 4.098, 5.634, 13.517 Å; angles 90.00, 90.00, 111.33 degrees
Element x y z (fractional)
Pr 0.215 0.430 0.895
Pr 0.785 0.570 0.105
Pr 0.215 0.430 0.605
Pr 0.785 0.570 0.395
Pr 0.502 0.004 0.750
Pr 0.498 0.996 0.250
Al 0.500 0.000 0.000
Al 0.500 0.000 0.500
Co 0.924 0.849 0.909
Co 0.076 0.151 0.091
Co 0.924 0.849 0.591
Co 0.076 0.151 0.409
Co 0.813 0.626 0.750
Co 0.187 0.374 0.250

Properties
Energy of formation = -174 meV per atom
Symmetry = Cmcm (63)
Volume = 145.36 Å³/f.u.

# Pm2Ga4HgAu3

A relaxed structure of Pm2Ga4HgAu3 (PBE, Alexandria via LeMat-Bulk).

Cell lengths 4.437, 4.437, 10.695 Å; angles 90.00, 90.00, 90.00 degrees
Element x y z (fractional)
Pm 0.500 0.000 0.248
Pm 0.000 0.500 0.752
Ga 0.500 0.500 0.000
Ga 0.000 0.000 0.000
Ga 0.500 0.000 0.642
Ga 0.000 0.500 0.358
Hg 0.500 0.500 0.500
Au 0.000 0.000 0.500
Au 0.500 0.000 0.874
Au 0.000 0.500 0.126

Properties
Energy of formation = -569 meV per atom
Symmetry = P-4m2 (115)
Volume = 210.58 Å³/f.u.

Question: Number 3 is which compound?
Answer: Pr3AlCo3

Question: What is the volume in the third record?
Answer: 145.36 Å³/f.u.

Question: Which value of volume does entry 1 give?
Answer: 74.83 Å³/f.u.

Question: What is the formula in the second record?
Answer: NaSi2Au